(1)
The following is a PBE calculation of a relaxed structure of Na8B11C5, from the Alexandria database.

Output
Its theoretical density is 2.427 Mg/m³. As for the calculated formation energy: 126.9 meV/atom. As for the relative energy among the computed polymorphs: 0.58 kcal/mol of atoms.

Cell lengths 5.132, 5.634, 8.586 Å; angles 90.00, 90.00, 90.00 degrees
Sites, in units of the cell vectors:
Na 0.500 0.750 0.003
C 0.339 0.000 0.250
B 0.821 0.749 0.750
B 0.152 0.238 0.250
Na 0.998 0.000 0.998
C 0.838 0.755 0.250
B 0.152 0.762 0.250
B 0.681 0.500 0.250
B 0.665 0.000 0.250
Na 0.997 0.500 0.002
C 0.664 0.500 0.750
Na 0.500 0.750 0.497
Na 0.997 0.500 0.498
B 0.364 0.500 0.750
B 0.151 0.749 0.750
B 0.821 0.251 0.750
B 0.151 0.251 0.750
C 0.838 0.245 0.250
Na 0.500 0.250 0.497
Na 0.500 0.250 0.003
Na 0.998 0.000 0.502
B 0.345 0.500 0.250
C 0.663 0.000 0.750
B 0.364 0.000 0.750

(2)
The following is a PBE calculation of a relaxed structure of AcTbZn2, from the Alexandria database.

Output
Its theoretical density is 8.167 Mg/m³. As for the calculated formation energy: -270.7 meV/atom.

Cell lengths 3.729, 3.729, 7.554 Å; angles 90.00, 90.00, 90.00 degrees
Sites, in units of the cell vectors:
Ac 0.500 0.500 0.500
Zn 0.000 0.000 0.788
Zn 0.000 0.000 0.212
Tb 0.500 0.500 0.000

(3)
The following is a PBE calculation of a relaxed structure of HoTlPdPb, from the Alexandria database.

Output
Its theoretical density is 11.876 Mg/m³. As for the calculated formation energy: -325.2 meV/atom.

Cell lengths 5.130, 5.130, 5.130 Å; angles 60.00, 60.00, 60.00 degrees
Sites, in units of the cell vectors:
Tl 0.750 0.750 0.750
Pb 0.000 0.000 0.000
Pd 0.250 0.250 0.250
Ho 0.500 0.500 0.500

(4)
The following is a PBE calculation of a relaxed structure of Sr2GeBiSe, from the Alexandria database.

Output
Its theoretical density is 4.981 Mg/m³. Its formation energy from raw total energies is -0.623 eV per atom.

Cell lengths 5.828, 5.259, 5.828 Å; angles 90.00, 90.00, 90.00 degrees
Sites, in units of the cell vectors:
Sr 0.500 0.000 0.000
Se 0.000 0.000 0.000
Ge 0.000 0.500 0.000
Sr 0.000 0.000 0.500
Bi 0.500 0.500 0.500

(5)
The following is a PBE calculation of a relaxed structure of CrRuSe2, from the Alexandria database.

Output
Its theoretical density is 5.855 Mg/m³. As for the relative energy among the computed polymorphs: 11.07 kcal/mol of atoms. Its formation energy from raw total energies is 0.209 eV per atom.

Cell lengths 7.981, 7.981, 7.981 Å; angles 26.34, 26.34, 26.34 degrees
Sites, in units of the cell vectors:
Cr 0.000 0.000 0.000
Se 0.893 0.893 0.893
Se 0.107 0.107 0.107
Ru 0.500 0.500 0.500

(6)
The following is a PBE calculation of a relaxed structure of HoSc7Hg4, from the Alexandria database.

Output
Its theoretical density is 7.410 Mg/m³. As for the calculated formation energy: -63.9 meV/atom.

Cell lengths 5.313, 8.483, 7.437 Å; angles 70.10, 69.07, 71.75 degrees
Sites, in units of the cell vectors:
Sc 0.068 0.587 0.277
Ho 0.000 0.000 0.000
Sc 0.264 0.687 0.785
Sc 0.932 0.413 0.723
Hg 0.448 0.727 0.376
Hg 0.552 0.273 0.624
Hg 0.687 0.663 0.963
Sc 0.736 0.313 0.215
Sc 0.500 0.000 0.000
Hg 0.313 0.337 0.037
Sc 0.211 0.116 0.463
Sc 0.789 0.884 0.537

What is the formula in the third record? HoTlPdPb